DFT (GGA-PBE) results for TbTi2Ni3 after structural relaxation.

```
12
Lattice="5.489 0.000 0.000 0.000 5.835 -1.812 0.000 0.216 6.106" Properties=species:S:1:pos:R:3 pbc="T T T"
Ni 4.117 0.320 0.227
Ni 4.117 1.020 2.495
Ni 1.372 5.730 4.067
Ni 1.372 5.031 1.799
Ni 4.117 2.692 0.139
Ni 1.372 3.358 4.155
Ti 2.744 1.383 4.460
Ti 0.000 1.383 4.460
Ti 2.744 4.667 -0.166
Ti 0.000 4.667 -0.166
Tb 1.372 2.001 1.420
Tb 4.117 4.050 2.874
```

- ρ: 7.236 g/cm3
- E_form: -282 meV per atom
- SG: Cmcm, No. 63
- Calculated volume: 198 Å³/cell